(1)
This record from Alexandria describes Ba2SnRhI after structural relaxation. The functional is PBE.

Computed properties:
formation energy without anion corrections	-0.7971	eV per atom
crystal system	tetragonal
density	5.3	g/cm³

Cell and atoms, written as CIF:
```
data_Ba2SnRhI
_chemical_formula_sum 'Ba2 Sn1 Rh1 I1'
_symmetry_space_group_name_H-M 'P 1'
_symmetry_Int_Tables_number 1
_cell_length_a 6.2294
_cell_length_b 6.2294
_cell_length_c 5.0342
_cell_angle_alpha 90.00
_cell_angle_beta 90.00
_cell_angle_gamma 90.00
loop_
_symmetry_equiv_pos_as_xyz
'x,y,z'
loop_
_atom_site_label
_atom_site_type_symbol
_atom_site_fract_x
_atom_site_fract_y
_atom_site_fract_z
Ba1 Ba 0.0000 0.5000 0.0000
Ba2 Ba 0.5000 0.0000 0.0000
Sn1 Sn 0.0000 0.0000 0.5000
Rh1 Rh 0.0000 0.0000 0.0000
I1 I 0.5000 0.5000 0.5000
```


(2)
This record from Alexandria describes Tl5InBr4Cl2 after structural relaxation. The functional is PBE.

Computed properties:
formation energy without anion corrections	-0.8257	eV per atom
crystal system	orthorhombic
density	4.9	g/cm³

Cell and atoms, written as CIF:
```
data_Tl5InBr4Cl2
_chemical_formula_sum 'Tl5 In1 Br4 Cl2'
_symmetry_space_group_name_H-M 'P 1'
_symmetry_Int_Tables_number 1
_cell_length_a 9.1916
_cell_length_b 7.9791
_cell_length_c 7.9791
_cell_angle_alpha 118.49
_cell_angle_beta 90.00
_cell_angle_gamma 90.00
loop_
_symmetry_equiv_pos_as_xyz
'x,y,z'
loop_
_atom_site_label
_atom_site_type_symbol
_atom_site_fract_x
_atom_site_fract_y
_atom_site_fract_z
Tl1 Tl 0.0000 0.0000 0.0000
Tl2 Tl 0.2416 0.3059 0.6958
Tl3 Tl 0.2416 0.6958 0.3059
Tl4 Tl 0.7584 0.3059 0.6958
Tl5 Tl 0.7584 0.6958 0.3059
In1 In 0.5000 0.0220 0.0220
Br1 Br 0.2471 0.2776 0.2776
Br2 Br 0.5000 0.5981 0.9842
Br3 Br 0.5000 0.9842 0.5981
Br4 Br 0.7529 0.2776 0.2776
Cl1 Cl 0.0000 0.6013 0.9863
Cl2 Cl 0.0000 0.9863 0.6013
```


(3)
This record from Alexandria describes BaLi3N after structural relaxation. The functional is PBE.

Computed properties:
energy above the lowest structure with this stoichiometry	0	meV/atom
formation energy without anion corrections	0.1191	eV per atom
crystal system	cubic
density	3.5	g/cm³

Cell and atoms, written as CIF:
```
data_BaLi3N
_chemical_formula_sum 'Ba1 Li3 N1'
_symmetry_space_group_name_H-M 'P 1'
_symmetry_Int_Tables_number 1
_cell_length_a 4.3447
_cell_length_b 4.3447
_cell_length_c 4.3447
_cell_angle_alpha 90.00
_cell_angle_beta 90.00
_cell_angle_gamma 90.00
loop_
_symmetry_equiv_pos_as_xyz
'x,y,z'
loop_
_atom_site_label
_atom_site_type_symbol
_atom_site_fract_x
_atom_site_fract_y
_atom_site_fract_z
Ba1 Ba 0.0000 0.0000 0.0000
Li1 Li 0.0000 0.5000 0.5000
Li2 Li 0.5000 0.0000 0.5000
Li3 Li 0.5000 0.5000 0.0000
N1 N 0.5000 0.5000 0.5000
```


(4)
This record from Alexandria describes Pm3SmEr7 after structural relaxation. The functional is PBE.

Computed properties:
energy above the lowest structure with this stoichiometry	0	meV/atom
crystal system	triclinic
density	8.1	g/cm³
formation energy	0.152	eV/atom

Cell and atoms, written as CIF:
```
data_Pm3SmEr7
_chemical_formula_sum 'Pm3 Sm1 Er7'
_symmetry_space_group_name_H-M 'P 1'
_symmetry_Int_Tables_number 1
_cell_length_a 5.5047
_cell_length_b 6.9441
_cell_length_c 9.9912
_cell_angle_alpha 69.74
_cell_angle_beta 89.97
_cell_angle_gamma 89.94
loop_
_symmetry_equiv_pos_as_xyz
'x,y,z'
loop_
_atom_site_label
_atom_site_type_symbol
_atom_site_fract_x
_atom_site_fract_y
_atom_site_fract_z
Pm1 Pm 0.0000 0.0000 0.0000
Pm2 Pm 0.4995 0.2833 0.5004
Pm3 Pm 0.5005 0.7167 0.4996
Sm1 Sm 0.0000 0.5000 0.0000
Er1 Er 0.0000 0.0000 0.5000
Er2 Er 0.0000 0.4159 0.6701
Er3 Er 0.0000 0.5841 0.3299
Er4 Er 0.4999 0.1446 0.2111
Er5 Er 0.5000 0.3202 0.8608
Er6 Er 0.5000 0.6798 0.1392
Er7 Er 0.5001 0.8554 0.7889
```


> What is the density in the second record?

4.9 g/cm³


> density of number 1 (Ba2SnRhI)?

5.3 g/cm³


> What is the density in the first record?

5.3 g/cm³


> What is the density in the fourth record?

8.1 g/cm³